# NiAs2Os GGA-PBEsol optimized geometry
# Polymorph energy (0 for the lowest one)   0 meV per atom
# ΔE_f   25.8 kJ/mol of atoms
# D(E_F)   3.39 states/eV/cell
data_NiAs2Os
_cell_length_a 4.2921
_cell_length_b 4.2921
_cell_length_c 3.0248
_cell_angle_alpha 90.00
_cell_angle_beta 90.00
_cell_angle_gamma 90.00
_space_group_name_H-M_alt 'P 1'
_space_group_IT_number 1
loop_
_space_group_symop_operation_xyz
'x,y,z'
loop_
_atom_site_label
_atom_site_fract_x
_atom_site_fract_y
_atom_site_fract_z
_atom_site_occupancy
Ni1 0.0000 0.0000 0.0000 1
As1 0.0000 0.5000 0.5000 1
As2 0.5000 0.0000 0.5000 1
Os1 0.5000 0.5000 0.0000 1